In2TcSb | PBE | relaxed

Symmetry: Cmmm (65)
DFT total energy (eV/atom): -4.517
Raw formation energy (meV per atom): 474.6
Total magnetic moment (μB per formula unit): 0.00

a = 5.1240 Å, b = 5.1240 Å, c = 3.5046 Å
α = 90.00°, β = 90.00°, γ = 113.35°
Closest atoms and distances in Å follow each position.
Sites, in units of the cell vectors:
In  0.5000  0.5000  0.0000  2 In 2.82, 4 Sb 3.10, 4 Tc 3.10
Sb  0.5000  0.0000  0.5000  2 Tc 2.82, 8 In 3.10
In  0.0000  0.0000  0.0000  2 In 2.82, 4 Tc 3.10, 4 Sb 3.10
Tc  0.0000  0.5000  0.5000  2 Sb 2.82, 8 In 3.10